Below is a geometry-optimized Li3MgGa8 structure, with properties calculated at the GGA-PBE level.

Summary:
For the formation enthalpy at 0 K, the calculation gives -0.182 eV/atom. As for the magnetization: 0.00 μB/cell. The calculation puts the final energy at -2.81 eV per atom.

Cell lengths 5.4437, 5.4437, 8.6966 Å; angles 90.00, 90.00, 120.00 degrees
Space group P3m1 (No. 156)
Asymmetric unit:
Li (0.0000, 0.0000, 0.0000) (multiplicity 1)
Li (0.0000, 0.0000, 0.3504) (multiplicity 1)
Li (0.3333, 0.6667, 0.8626) (multiplicity 1)
Mg (0.3333, 0.6667, 0.4919) (multiplicity 1)
Ga (0.0117, 0.5059, 0.1739) (multiplicity 3)
Ga (0.3228, 0.1614, 0.6770) (multiplicity 3)
Ga (0.6667, 0.3333, 0.4220) (multiplicity 1)
Ga (0.6667, 0.3333, 0.9263) (multiplicity 1)

---

Below is a geometry-optimized Li7Mg12Ga structure, with properties calculated at the GGA-PBE level.

Summary:
For the formation enthalpy at 0 K, the calculation gives 0.048 eV/atom. As for the magnetization: 0.00 μB/cell. The calculation puts the final energy at -1.73 eV per atom.

Cell lengths 16.8996, 16.8996, 5.2574 Å; angles 90.00, 90.00, 120.00 degrees
Space group R-3 (No. 148, hexagonal axes)
Asymmetric unit:
Li (0.0000, 0.0000, 0.0000) (multiplicity 3)
Li (0.0645, 0.9069, 0.3183) (multiplicity 18)
Mg (0.0107, 0.4198, 0.0062) (multiplicity 18)
Mg (0.1009, 0.8723, 0.8216) (multiplicity 18)
Ga (0.0000, 0.0000, 0.5000) (multiplicity 3)